Record 1
Compound: Zn2Cu2Pb
Source: the Alexandria database
Functional: PBE
Structure: optimized geometry

a = 3.8903 Å, b = 3.8903 Å, c = 11.7515 Å
α = 90.00°, β = 90.00°, γ = 90.00°
Space group I4/mmm (No. 139)
Symmetry-distinct sites (fractional):
Zn  0.0000  0.0000  0.1132
Cu  0.0000  0.5000  0.2500
Pb  0.0000  0.0000  0.5000

Output
- E_form: 0.16 eV/atom
- Total moment: 0.0 μB/cell
- Total DFT energy (no corrections): -2.727 eV per atom
- D(E_F): 0.396 states/eV/atom



Record 2
Compound: La3AsBr2
Source: the Alexandria database
Functional: PBE
Structure: optimized geometry

a = 4.3988 Å, b = 6.1347 Å, c = 12.9211 Å
α = 90.00°, β = 90.00°, γ = 90.00°
Space group Immm (No. 71)
Symmetry-distinct sites (fractional):
La  0.0000  0.0000  0.0000
La  0.0000  0.0000  0.3461
As  0.0000  0.5000  0.0000
Br  0.0000  0.5000  0.3312

Output
- Total moment: 0.0 μB/cell
- Total DFT energy (no corrections): -5.226 eV per atom
- D(E_F): 0.761 states/eV/atom
- Formation energy (no corrections): -1.43 eV per atom



Record 3
Compound: KFe2Os
Source: the Alexandria database
Functional: PBE
Structure: optimized geometry

a = 6.3972 Å, b = 6.3972 Å, c = 6.3972 Å
α = 90.00°, β = 90.00°, γ = 90.00°
Space group F-43m (No. 216)
Symmetry-distinct sites (fractional):
K  0.0000  0.0000  0.0000
Fe  0.0000  0.0000  0.5000
Fe  0.2500  0.2500  0.2500
Os  0.2500  0.2500  0.7500

Output
- E_form: 1.58 eV/atom
- Total moment: 26.7 μB/cell
- Total DFT energy (no corrections): -5.729 eV per atom
- D(E_F): 1.625 states/eV/atom



Record 4
Compound: LaSm2HoIn4
Source: the Alexandria database
Functional: PBE
Structure: optimized geometry

a = 5.4253 Å, b = 5.4253 Å, c = 26.7075 Å
α = 90.00°, β = 90.00°, γ = 120.00°
Space group R-3m (No. 166, hexagonal axes)
Symmetry-distinct sites (fractional):
La  0.0000  0.0000  0.0000
Sm  0.0000  0.0000  0.2492
Ho  0.0000  0.0000  0.5000
In  0.0000  0.0000  0.1271
In  0.0000  0.0000  0.3773

Output
- E_form: -0.48 eV/atom
- Total moment: 0.0 μB/cell
- Total DFT energy (no corrections): -4.216 eV per atom
- D(E_F): 0.471 states/eV/atom



Copy entry 3 word for word.
Compound: KFe2Os
Source: the Alexandria database
Functional: PBE
Structure: optimized geometry

a = 6.3972 Å, b = 6.3972 Å, c = 6.3972 Å
α = 90.00°, β = 90.00°, γ = 90.00°
Space group F-43m (No. 216)
Symmetry-distinct sites (fractional):
K  0.0000  0.0000  0.0000
Fe  0.0000  0.0000  0.5000
Fe  0.2500  0.2500  0.2500
Os  0.2500  0.2500  0.7500

Output
- E_form: 1.58 eV/atom
- Total moment: 26.7 μB/cell
- Total DFT energy (no corrections): -5.729 eV per atom
- D(E_F): 1.625 states/eV/atom



Q: Which value of D(E_F) does entry 2 give?
A: 0.761 states/eV/atom



Q: What is the formula in the fourth record?
A: LaSm2HoIn4